1.
VASP calculation (PBE) on a geometry-optimized YFeCu2 structure.

Values from the calculation:
Energy relative to the elements = 0.219 eV/atom

Cell lengths 6.3785, 6.3785, 6.3785 Å; angles 90.00, 90.00, 90.00 degrees
Space group F-43m (No. 216)
Asymmetric unit:
Y  0.0000  0.0000  0.0000 (multiplicity 4)
Fe  0.2500  0.2500  0.2500 (multiplicity 4)
Cu  0.0000  0.0000  0.5000 (multiplicity 4)
Cu  0.2500  0.2500  0.7500 (multiplicity 4)

2.
VASP calculation (PBE) on a geometry-optimized NaMnCo2C structure.

Values from the calculation:
Energy relative to the elements = 1.221 eV/atom

Cell lengths 4.4392, 4.4392, 3.7113 Å; angles 90.00, 90.00, 90.00 degrees
Space group P4/mmm (No. 123)
Asymmetric unit:
Na  0.0000  0.0000  0.0000 (multiplicity 1)
Mn  0.5000  0.5000  0.5000 (multiplicity 1)
Co  0.0000  0.5000  0.5000 (multiplicity 2)
C  0.5000  0.5000  0.0000 (multiplicity 1)

3.
VASP calculation (PBE) on a geometry-optimized Zn2In2Br5 structure.

Values from the calculation:
Energy relative to the elements, uncorrected = -0.58 eV per atom

Cell lengths 14.3772, 5.6262, 7.6037 Å; angles 90.00, 108.12, 90.00 degrees
Space group C2/m (No. 12)
Asymmetric unit:
Zn  0.1552  0.0000  0.3887 (multiplicity 4)
In  0.1034  0.5000  0.8161 (multiplicity 4)
Br  0.0000  0.0000  0.5000 (multiplicity 2)
Br  0.1570  0.5000  0.4165 (multiplicity 4)
Br  0.1601  0.0000  0.0590 (multiplicity 4)

Number 1: calculated volume 16.22 Å³/atom, density 6.96 g cm⁻³. Number 2: calculated volume 14.63 Å³/atom, density 4.72 g cm⁻³. Number 3: calculated volume 32.47 Å³/atom, density 4.32 g cm⁻³.